(1)
# TbMgSc2 (PBE, optimized geometry)
# raw total energy = -18.9 eV for the cell shown
# ΔE_f = -2.4 meV/atom
data_TbMgSc2
_cell_length_a 3.370
_cell_length_b 3.370
_cell_length_c 9.157
_cell_angle_alpha 90.00
_cell_angle_beta 90.00
_cell_angle_gamma 90.00
_space_group_name_H-M_alt 'P 1'
_space_group_IT_number 1
loop_
_space_group_symop_operation_xyz
'x,y,z'
loop_
_atom_site_label
_atom_site_type_symbol
_atom_site_fract_x
_atom_site_fract_y
_atom_site_fract_z
Tb1 Tb 0.500 0.500 0.250
Mg1 Mg 0.000 0.000 0.514
Sc1 Sc 0.000 0.000 0.987
Sc2 Sc 0.500 0.500 0.749



(2)
# K2AlNi (PBE, optimized geometry)
# raw total energy = -8.7 eV for the cell shown
# ΔE_f = 743.7 meV/atom
data_K2AlNi
_cell_length_a 3.183
_cell_length_b 3.183
_cell_length_c 10.665
_cell_angle_alpha 90.00
_cell_angle_beta 90.00
_cell_angle_gamma 89.99
_space_group_name_H-M_alt 'P 1'
_space_group_IT_number 1
loop_
_space_group_symop_operation_xyz
'x,y,z'
loop_
_atom_site_label
_atom_site_type_symbol
_atom_site_fract_x
_atom_site_fract_y
_atom_site_fract_z
Ni1 Ni 0.500 0.500 0.250
K1 K 0.000 0.000 0.032
K2 K 0.000 0.000 0.468
Al1 Al 0.500 0.500 0.750